Li6In12Sn | PBE | optimized geometry

Results
Energy above the most stable polymorph in this dataset in meV per atom: 0
Formation energy in kcal/mol of atoms: -3.314

```
19
Lattice="7.616 -0.162 0.455 0.419 7.606 0.455 -0.175 -0.162 7.627" Properties=species:S:1:pos:R:3 pbc="T T T"
Li 6.788 1.817 6.144
Li 1.072 5.465 2.393
Li 5.624 1.873 1.266
Li 5.931 6.630 2.828
Li 2.236 5.409 7.272
Li 1.928 0.652 5.709
In 6.474 4.444 8.133
In 0.161 1.166 2.959
In 4.153 3.078 6.499
In 3.536 5.882 4.675
In 1.386 2.838 0.404
In 5.008 7.211 7.123
In 1.662 3.376 4.628
In 3.707 4.204 2.038
In 6.198 3.906 3.910
In 7.699 6.116 5.578
In 4.324 1.400 3.863
In 2.852 0.071 1.415
Sn 0.000 0.000 0.000
```

VBP3 | PBE | optimized geometry

Results
Energy above the most stable polymorph in this dataset in meV per atom: 0
Formation energy in kcal/mol of atoms: 18.229

```
5
Lattice="-2.641 0.178 3.128 -3.093 -0.797 -2.566 0.497 -4.015 0.649" Properties=species:S:1:pos:R:3 pbc="T T T"
B 0.000 0.000 0.000
V -2.619 -2.317 0.605
P -1.320 0.089 1.564
P -1.547 -0.399 -1.283
P 0.248 -2.008 0.324
```

CaGe2PtRh | PBE | optimized geometry

Results
Formation energy in kcal/mol of atoms: -17.820

```
5
Lattice="-2.409 3.103 1.424 -1.365 -2.473 3.080 5.866 1.351 0.850" Properties=species:S:1:pos:R:3 pbc="T T T"
Ge 3.021 1.265 2.355
Ge -0.929 0.716 2.999
Ca 0.000 0.000 0.000
Pt 1.307 -0.403 3.091
Rh 0.785 2.385 2.263
```